Material: La2PuSi2
Method: DFT, GGA-PBE
State: relaxed

Cell: 5.9629 5.9629 5.9629 Å, 135.75 114.43 82.54°
Fractional coordinates of all 5 atoms:
La 0.2114 0.2114 0.0000
La 0.7886 0.7886 0.0000
Pu 0.5000 0.0000 0.5000
Si 0.1940 0.5000 0.6940
Si 0.8060 0.5000 0.3060

Values from the calculation:
**DOS at the Fermi energy**: 13.5 states/eV/f.u.
**Raw total energy**: -7.52 eV per atom
**Theoretical density**: 7.383 g/cm3
**Spin magnetization**: 6.2 μB/f.u.
**Energy relative to the elements, uncorrected**: -518 meV per atom
**V**: 26.0 Å³/atom